Compound: CdC
Source: Alexandria via LeMat-Bulk
Functional: GGA-PBE
Structure: relaxed

abc: 3.4646 3.4646 2.8773
angles: 90.00 90.00 120.00
With the nearest neighbours (Å) after each atom.
Space group P-6m2 (No. 187)
One atom of each set of equivalent atoms:
Cd1 0.0000 0.0000 0.0000  6 C 2.46
C1 0.3333 0.6667 0.5000  6 Cd 2.46

## Properties
As for the calculated density: 6908 kg/m³. For the energy of formation, the calculation gives 391.2 kJ/mol of formula units. The calculation puts the relative energy among the computed polymorphs at 1610.4 meV/atom. The value obtained for the total moment is 0.00 μB per formula unit.



Compound: CdC2
Source: Alexandria via LeMat-Bulk
Functional: GGA-PBE
Structure: relaxed

abc: 3.0214 3.0214 8.0977
angles: 90.00 90.00 90.00
With the nearest neighbours (Å) after each atom.
Space group P4/nmm (No. 129, origin choice 2)
One atom of each set of equivalent atoms:
Cd1 0.2500 0.2500 0.1313  1 C 2.26
C1 0.2500 0.2500 0.4107  4 C 1.67
C2 0.2500 0.7500 0.5000  4 C 1.67

## Properties
As for the calculated density: 6129 kg/m³. For the energy of formation, the calculation gives 437.7 kJ/mol of formula units. The calculation puts the relative energy among the computed polymorphs at 1115.4 meV/atom. The value obtained for the total moment is 0.00 μB per formula unit.



Compound: CdC2
Source: Alexandria via LeMat-Bulk
Functional: GGA-PBE
Structure: relaxed

abc: 5.5480 5.5480 5.5480
angles: 90.00 90.00 90.00
With the nearest neighbours (Å) after each atom.
Space group Pa-3 (No. 205)
One atom of each set of equivalent atoms:
Cd1 0.0000 0.0000 0.0000  6 C 2.46
C1 0.0659 0.5659 0.9341  1 C 1.27

## Properties
As for the calculated density: 5307 kg/m³. For the energy of formation, the calculation gives 348.4 kJ/mol of formula units. The calculation puts the relative energy among the computed polymorphs at 807.0 meV/atom. The value obtained for the total moment is 0.00 μB per formula unit.



Compound: CdC3
Source: Alexandria via LeMat-Bulk
Functional: GGA-PBE
Structure: relaxed

abc: 4.6039 4.6039 12.9895
angles: 90.00 90.00 120.00
With the nearest neighbours (Å) after each atom.
Space group P6_3/mmc (No. 194)
One atom of each set of equivalent atoms:
Cd1 0.0000 0.0000 0.0000  6 C 2.30
Cd2 0.3333 0.6667 0.2500  6 C 2.36
C1 0.0000 0.5000 0.0000  2 Cd 2.30, 4 C 2.30
C2 0.2293 0.4585 0.7500  2 C 1.44

## Properties
As for the calculated density: 4135 kg/m³. For the energy of formation, the calculation gives 1077.2 kJ/mol of formula units. The calculation puts the relative energy among the computed polymorphs at 2183.3 meV/atom. The value obtained for the total moment is 0.06 μB per formula unit.



Compound: Cd5C
Source: Alexandria via LeMat-Bulk
Functional: GGA-PBE
Structure: relaxed

abc: 5.2953 5.2953 4.8816
angles: 90.00 90.00 120.00
With the nearest neighbours (Å) after each atom.
Space group P-62m (No. 189)
One atom of each set of equivalent atoms:
Cd1 0.0000 0.6825 0.0000  10 Cd 2.91-3.13, 2 C 2.96
Cd2 0.3333 0.6667 0.5000  9 Cd 3.04-3.06, 3 C 3.06
C1 0.0000 0.0000 0.5000  12 Cd 2.96-3.06

## Properties
As for the calculated density: 8042 kg/m³. For the energy of formation, the calculation gives 481.7 kJ/mol of formula units. The calculation puts the relative energy among the computed polymorphs at 240.8 meV/atom. The value obtained for the total moment is 0.00 μB per formula unit.



Compound: CdC3
Source: Alexandria via LeMat-Bulk
Functional: GGA-PBE
Structure: relaxed

abc: 3.2326 3.2326 4.5970
angles: 90.00 90.00 90.00
With the nearest neighbours (Å) after each atom.
Space group P4/mmm (No. 123)
One atom of each set of equivalent atoms:
Cd1 0.0000 0.0000 0.0000  2 C 2.30
C1 0.0000 0.0000 0.5000  2 Cd 2.30, 8 C 2.38
C2 0.5000 0.5000 0.3567  1 C 1.32

## Properties
As for the calculated density: 5131 kg/m³. For the energy of formation, the calculation gives 921.6 kJ/mol of formula units. The calculation puts the relative energy among the computed polymorphs at 1780.3 meV/atom. The value obtained for the total moment is 0.00 μB per formula unit.



Compound: CdC3
Source: Alexandria via LeMat-Bulk
Functional: GGA-PBE
Structure: relaxed

abc: 2.6159 7.5825 3.7249
angles: 90.00 90.00 90.00
With the nearest neighbours (Å) after each atom.
Space group Pmm2 (No. 25)
One atom of each set of equivalent atoms:
Cd1 0.0000 0.0000 0.0000  4 C 2.28
C1 0.0000 0.5000 0.3754  2 C 1.31
C2 0.5000 0.0000 0.5001  4 Cd 2.28
C3 0.5000 0.5000 0.3757  2 C 1.31

## Properties
As for the calculated density: 3336 kg/m³. For the energy of formation, the calculation gives 659.6 kJ/mol of formula units. The calculation puts the relative energy among the computed polymorphs at 1101.5 meV/atom. The value obtained for the total moment is 0.66 μB per formula unit.



Compound: CdC
Source: Alexandria via LeMat-Bulk
Functional: GGA-PBE
Structure: relaxed

abc: 2.6639 2.6639 11.9326
angles: 90.00 90.00 120.00
With the nearest neighbours (Å) after each atom.
Space group P-3m1 (No. 164)
One atom of each set of equivalent atoms:
Cd1 0.3333 0.6667 0.1308  6 Cd 2.66
C1 0.3333 0.6667 0.5000  3 C 1.54

## Properties
As for the calculated density: 5635 kg/m³. For the energy of formation, the calculation gives 80.4 kJ/mol of formula units. The calculation puts the relative energy among the computed polymorphs at 0.0 meV/atom. The value obtained for the total moment is 0.00 μB per formula unit.



Compound: CdC2
Source: Alexandria via LeMat-Bulk
Functional: GGA-PBE
Structure: relaxed

abc: 4.5513 13.4847 2.5851
angles: 90.00 90.00 90.00
With the nearest neighbours (Å) after each atom.
Space group Cmmm (No. 65)
One atom of each set of equivalent atoms:
Cd1 0.0000 0.1695 0.0000  2 Cd 2.59, 2 C 2.63
C1 0.0000 0.0000 0.5000  10 C 2.44-2.62, 4 Cd 2.63
C2 0.0000 0.4355 0.5000  3 C 1.56-1.74
C3 0.0000 0.5000 0.0000  4 C 1.56

## Properties
As for the calculated density: 5712 kg/m³. For the energy of formation, the calculation gives 655.3 kJ/mol of formula units. The calculation puts the relative energy among the computed polymorphs at 1867.3 meV/atom. The value obtained for the total moment is 0.00 μB per formula unit.



Compound: CdC
Source: Alexandria via LeMat-Bulk
Functional: GGA-PBE
Structure: relaxed

abc: 3.5970 3.5970 6.0777
angles: 90.00 90.00 120.00
With the nearest neighbours (Å) after each atom.
Space group P-3m1 (No. 164)
One atom of each set of equivalent atoms:
Cd1 0.3333 0.6667 0.1967  3 C 2.40
C1 0.0000 0.0000 0.3951  1 C 1.28

## Properties
As for the calculated density: 6068 kg/m³. For the energy of formation, the calculation gives 167.5 kJ/mol of formula units. The calculation puts the relative energy among the computed polymorphs at 451.4 meV/atom. The value obtained for the total moment is 0.00 μB per formula unit.



Compound: CdC3
Source: Alexandria via LeMat-Bulk
Functional: GGA-PBE
Structure: relaxed

abc: 5.3092 5.8767 3.8287
angles: 90.00 101.36 90.00
With the nearest neighbours (Å) after each atom.
Space group C2/m (No. 12)
One atom of each set of equivalent atoms:
Cd1 0.0000 0.0000 0.0000  2 C 2.31
C1 0.0000 0.5000 0.5000  2 C 1.32
C2 0.0574 0.5000 0.8509  2 C 1.32-1.40

## Properties
As for the calculated density: 4209 kg/m³. For the energy of formation, the calculation gives 378.6 kJ/mol of formula units. The calculation puts the relative energy among the computed polymorphs at 373.4 meV/atom. The value obtained for the total moment is 0.00 μB per formula unit.



Compound: CdC4
Source: Alexandria via LeMat-Bulk
Functional: GGA-PBE
Structure: relaxed

abc: 5.8729 5.8729 4.4959
angles: 90.00 90.00 90.00
With the nearest neighbours (Å) after each atom.
Space group I4/mmm (No. 139)
One atom of each set of equivalent atoms:
Cd1 0.0000 0.0000 0.0000  4 C 2.29
C1 0.0000 0.3901 0.0000  1 C 1.29

## Properties
As for the calculated density: 3436 kg/m³. For the energy of formation, the calculation gives 947.4 kJ/mol of formula units. The calculation puts the relative energy among the computed polymorphs at 703.1 meV/atom. The value obtained for the total moment is 0.00 μB per formula unit.



Compound: Cd3C4
Source: Alexandria via LeMat-Bulk
Functional: GGA-PBE
Structure: relaxed

abc: 2.5421 2.5421 30.3945
angles: 90.00 90.00 90.00
With the nearest neighbours (Å) after each atom.
Space group I4/mmm (No. 139)
One atom of each set of equivalent atoms:
Cd1 0.0000 0.0000 0.0000  4 Cd 2.54
Cd2 0.0000 0.0000 0.3066  4 Cd 2.54
C1 0.0000 0.0000 0.0965  4 C 1.80
C2 0.0000 0.0000 0.4011  4 C 1.80

## Properties
As for the calculated density: 6514 kg/m³. For the energy of formation, the calculation gives 1343.4 kJ/mol of formula units. The calculation puts the relative energy among the computed polymorphs at 582.4 meV/atom. The value obtained for the total moment is 0.00 μB per formula unit.



Compound: CdC
Source: Alexandria via LeMat-Bulk
Functional: GGA-PBE
Structure: relaxed

abc: 3.4534 3.9257 5.9608
angles: 78.02 89.80 64.14
With the nearest neighbours (Å) after each atom.
Space group P-1 (No. 2)
One atom of each set of equivalent atoms:
Cd1 0.2324 0.0329 0.2986  1 C 2.25
C1 0.4554 0.5886 0.0810  1 C 1.27

## Properties
As for the calculated density: 5838 kg/m³. For the energy of formation, the calculation gives 166.7 kJ/mol of formula units. The calculation puts the relative energy among the computed polymorphs at 446.8 meV/atom. The value obtained for the total moment is 0.00 μB per formula unit.



Compound: CdC3
Source: Alexandria via LeMat-Bulk
Functional: GGA-PBE
Structure: relaxed

abc: 4.3890 4.3890 4.3890
angles: 90.00 90.00 90.00
With the nearest neighbours (Å) after each atom.
Space group Pm-3m (No. 221)
One atom of each set of equivalent atoms:
Cd1 0.0000 0.0000 0.0000  6 C 2.19
C1 0.0000 0.0000 0.5000  2 Cd 2.19

## Properties
As for the calculated density: 2916 kg/m³. For the energy of formation, the calculation gives 1732.7 kJ/mol of formula units. The calculation puts the relative energy among the computed polymorphs at 3881.9 meV/atom. The value obtained for the total moment is 0.82 μB per formula unit.



Compound: CdC4
Source: Alexandria via LeMat-Bulk
Functional: GGA-PBE
Structure: relaxed

abc: 6.7905 2.5583 6.5630
angles: 90.00 95.83 90.00
With the nearest neighbours (Å) after each atom.
Space group C2/m (No. 12)
One atom of each set of equivalent atoms:
Cd1 0.0000 0.0000 0.0000  6 C 2.41-2.52, 2 Cd 2.56
C1 0.2259 0.5000 0.2317  1 C 1.37
C2 0.2435 0.5000 0.4421  3 C 1.37-1.49

## Properties
As for the calculated density: 4698 kg/m³. For the energy of formation, the calculation gives 608.2 kJ/mol of formula units. The calculation puts the relative energy among the computed polymorphs at 0.0 meV/atom. The value obtained for the total moment is 0.00 μB per formula unit.



Compound: CdC7
Source: Alexandria via LeMat-Bulk
Functional: GGA-PBE
Structure: relaxed

abc: 6.7321 6.7321 6.7321
angles: 90.00 90.00 90.00
With the nearest neighbours (Å) after each atom.
Space group Fm-3m (No. 225)
One atom of each set of equivalent atoms:
Cd1 0.0000 0.0000 0.0000  12 C 2.38
C1 0.0000 0.0000 0.5000  12 C 2.38
C2 0.0000 0.2500 0.2500  2 Cd 2.38, 10 C 2.38

## Properties
As for the calculated density: 4278 kg/m³. For the energy of formation, the calculation gives 3225.5 kJ/mol of formula units. The value obtained for the total moment is 0.00 μB per formula unit.



Compound: Cd3C
Source: Alexandria via LeMat-Bulk
Functional: GGA-PBE
Structure: relaxed

abc: 4.1520 4.1520 5.9199
angles: 90.00 90.00 90.00
With the nearest neighbours (Å) after each atom.
Space group P-4m2 (No. 115)
One atom of each set of equivalent atoms:
Cd1 0.0000 0.0000 0.0000  4 Cd 3.08
Cd2 0.0000 0.5000 0.6153  2 C 2.19
C1 0.5000 0.5000 0.5000  4 Cd 2.19

## Properties
As for the calculated density: 5683 kg/m³. For the energy of formation, the calculation gives 354.3 kJ/mol of formula units. The calculation puts the relative energy among the computed polymorphs at 493.3 meV/atom. The value obtained for the total moment is 0.00 μB per formula unit.



Compound: CdC2
Source: Alexandria via LeMat-Bulk
Functional: GGA-PBE
Structure: relaxed

abc: 2.5942 21.2923 5.5948
angles: 90.00 90.00 90.00
With the nearest neighbours (Å) after each atom.
Space group Cmcm (No. 63)
One atom of each set of equivalent atoms:
Cd1 0.0000 0.2287 0.2500  2 Cd 2.59
C1 0.0000 0.0675 0.7500  2 C 1.30
C2 0.0000 0.4325 0.2500  2 C 1.30

## Properties
As for the calculated density: 2932 kg/m³. For the energy of formation, the calculation gives 222.4 kJ/mol of formula units. The calculation puts the relative energy among the computed polymorphs at 371.8 meV/atom. The value obtained for the total moment is 0.00 μB per formula unit.



Compound: Cd4C
Source: Alexandria via LeMat-Bulk
Functional: GGA-PBE
Structure: relaxed

abc: 5.9766 5.9766 5.9766
angles: 90.00 90.00 90.00
With the nearest neighbours (Å) after each atom.
Space group Im-3m (No. 229)
One atom of each set of equivalent atoms:
Cd1 0.2500 0.2500 0.2500  2 C 2.59
C1 0.0000 0.0000 0.0000  8 Cd 2.59

## Properties
As for the calculated density: 7182 kg/m³. For the energy of formation, the calculation gives 430.8 kJ/mol of formula units. The calculation puts the relative energy among the computed polymorphs at 165.4 meV/atom. The value obtained for the total moment is 0.00 μB per formula unit.